Record 1
{
  "formula": "CsInAg2P",
  "functional": "PBE-GGA",
  "state": "relaxed",
  "lattice_angstrom": [[4.9627, 0.0000, 0.0000], [0.0000, 4.9627, 0.0000], [0.0000, 0.0000, 6.1267]],
  "species": ["Cs", "In", "Ag", "Ag", "P"],
  "fractional_positions": [[0.0000, 0.0000, 0.0000], [0.5000, 0.5000, 0.0000], [0.0000, 0.5000, 0.5000], [0.5000, 0.0000, 0.5000], [0.5000, 0.5000, 0.5000]],
  "formation_energy_kcal_per_mol_atoms": 4.5,
  "volume_a3_per_cell": 150.9
}

---

Record 2
{
  "formula": "BeCdHg2Ge",
  "functional": "PBE-GGA",
  "state": "relaxed",
  "lattice_angstrom": [[4.7507, 0.0000, 0.0000], [0.0000, 4.7507, 0.0000], [0.0000, 0.0000, 4.8458]],
  "species": ["Be", "Cd", "Hg", "Hg", "Ge"],
  "fractional_positions": [[0.0000, 0.0000, 0.0000], [0.0000, 0.0000, 0.5000], [0.0000, 0.5000, 0.0000], [0.5000, 0.0000, 0.0000], [0.5000, 0.5000, 0.5000]],
  "formation_energy_kcal_per_mol_atoms": 10.2,
  "volume_a3_per_cell": 109.4
}

---

Record 3
{
  "formula": "AlIn2W",
  "functional": "PBE-GGA",
  "state": "relaxed",
  "lattice_angstrom": [[2.9778, 0.0000, 0.0000], [0.0000, 4.9228, 0.0000], [0.0000, 0.0000, 5.1901]],
  "species": ["Al", "In", "In", "W"],
  "fractional_positions": [[0.0000, 0.0000, 0.0000], [0.5000, 0.0000, 0.4723], [0.5000, 0.5000, 0.7907], [0.0000, 0.5000, 0.2719]],
  "formation_energy_kcal_per_mol_atoms": 9.1,
  "volume_a3_per_cell": 76.1
}

---

Record 4
{
  "formula": "Ta6GeC",
  "functional": "PBE-GGA",
  "state": "relaxed",
  "lattice_angstrom": [[5.5764, 0.0000, 0.0000], [-2.7880, 4.8314, 0.0000], [-0.0030, -3.2097, 5.1566]],
  "species": ["Ta", "Ta", "Ta", "Ta", "Ta", "Ta", "Ge", "C"],
  "fractional_positions": [[0.0229, 0.4513, 0.2269], [0.2243, 0.2021, 0.7728], [0.4293, 0.2039, 0.2258], [0.5707, 0.7961, 0.7742], [0.7757, 0.7979, 0.2272], [0.9771, 0.5487, 0.7731], [0.5000, 0.0000, 0.5000], [0.0000, 0.0000, 0.0000]],
  "formation_energy_kcal_per_mol_atoms": 2.0,
  "volume_a3_per_cell": 138.9
}

---

Record 5
{
  "formula": "Hf5ScRu4",
  "functional": "PBE-GGA",
  "state": "relaxed",
  "lattice_angstrom": [[3.2462, 0.0000, 0.0000], [0.0000, 3.2462, 0.0000], [0.0000, 0.0000, 17.2389]],
  "species": ["Hf", "Hf", "Hf", "Hf", "Hf", "Sc", "Ru", "Ru", "Ru", "Ru"],
  "fractional_positions": [[0.0000, 0.0000, 0.0000], [0.0000, 0.0000, 0.1884], [0.0000, 0.0000, 0.3759], [0.0000, 0.0000, 0.6241], [0.0000, 0.0000, 0.8116], [0.5000, 0.5000, 0.5000], [0.5000, 0.5000, 0.0942], [0.5000, 0.5000, 0.2825], [0.5000, 0.5000, 0.7175], [0.5000, 0.5000, 0.9058]],
  "formation_energy_kcal_per_mol_atoms": -13.9,
  "volume_a3_per_cell": 181.7
}

---

Record 6
{
  "formula": "LiCeMg",
  "functional": "PBE-GGA",
  "state": "relaxed",
  "lattice_angstrom": [[-1.5511, 1.5511, 7.2829], [1.5511, -1.5511, 7.2829], [1.5511, 1.5511, -7.2829]],
  "species": ["Li", "Ce", "Mg"],
  "fractional_positions": [[0.0000, 0.0000, 0.0000], [0.6798, 0.6798, 0.0000], [0.3592, 0.3592, 0.0000]],
  "formation_energy_kcal_per_mol_atoms": 1.9,
  "volume_a3_per_cell": 70.1
}

---

Record 7
{
  "formula": "ZnFeBr2",
  "functional": "PBE-GGA",
  "state": "relaxed",
  "lattice_angstrom": [[3.7788, 0.0000, 0.0000], [0.0000, 3.4922, 0.0000], [-1.0160, 0.0000, 9.3810]],
  "species": ["Zn", "Fe", "Br", "Br"],
  "fractional_positions": [[0.0000, 0.0000, 0.0000], [0.5000, 0.0000, 0.5000], [0.4093, 0.5000, 0.6814], [0.5907, 0.5000, 0.3186]],
  "raw_formation_energy_ev_per_atom": 0.0430,
  "volume_a3_per_cell": 123.8
}

---

Record 8
{
  "formula": "Pr2Y6Er3Sc",
  "functional": "PBE-GGA",
  "state": "relaxed",
  "lattice_angstrom": [[3.0756, -5.3251, 0.0000], [3.0756, 5.3251, 0.0000], [-2.0436, 0.0000, 11.6154]],
  "species": ["Pr", "Pr", "Y", "Y", "Y", "Y", "Y", "Y", "Er", "Er", "Er", "Sc"],
  "fractional_positions": [[0.1665, 0.8335, 0.0000], [0.8335, 0.1665, 0.0000], [0.0864, 0.4164, 0.7481], [0.2535, 0.2535, 0.2523], [0.4164, 0.0864, 0.7481], [0.5836, 0.9136, 0.2519], [0.7465, 0.7465, 0.7477], [0.9136, 0.5836, 0.2519], [0.0000, 0.0000, 0.5000], [0.3339, 0.6661, 0.5000], [0.6661, 0.3339, 0.5000], [0.5000, 0.5000, 0.0000]],
  "formation_energy_kcal_per_mol_atoms": 0.7,
  "volume_a3_per_cell": 380.5
}

---

Record 9
{
  "formula": "ZrMoRuW",
  "functional": "PBE-GGA",
  "state": "relaxed",
  "lattice_angstrom": [[0.0000, 3.2139, 3.2139], [3.2139, 0.0000, 3.2139], [3.2139, 3.2139, 0.0000]],
  "species": ["Zr", "Mo", "Ru", "W"],
  "fractional_positions": [[0.0000, 0.0000, 0.0000], [0.7500, 0.7500, 0.7500], [0.2500, 0.2500, 0.2500], [0.5000, 0.5000, 0.5000]],
  "formation_energy_kcal_per_mol_atoms": -3.7,
  "volume_a3_per_cell": 66.4
}

---

Record 10
{
  "formula": "La3PmHo2Te6",
  "functional": "PBE-GGA",
  "state": "relaxed",
  "lattice_angstrom": [[3.8530, -6.7077, 0.0000], [3.8530, 6.7077, 0.0000], [-2.5846, 0.0000, 7.3770]],
  "species": ["La", "La", "La", "Pm", "Ho", "Ho", "Te", "Te", "Te", "Te", "Te", "Te"],
  "fractional_positions": [[0.0000, 0.0000, 0.0000], [0.3384, 0.6616, 0.0000], [0.6616, 0.3384, 0.0000], [0.5000, 0.5000, 0.5000], [0.1671, 0.8329, 0.5000], [0.8329, 0.1671, 0.5000], [0.0802, 0.4210, 0.2631], [0.2360, 0.2360, 0.7317], [0.4210, 0.0802, 0.2631], [0.5790, 0.9198, 0.7369], [0.7640, 0.7640, 0.2683], [0.9198, 0.5790, 0.7369]],
  "raw_formation_energy_ev_per_atom": -1.4549,
  "volume_a3_per_cell": 381.3
}

---

Record 11
{
  "formula": "Ti2Cu3Ni2",
  "functional": "PBE-GGA",
  "state": "relaxed",
  "lattice_angstrom": [[4.2172, -1.7315, 0.0000], [4.2172, 1.7315, 0.0000], [-0.6805, 0.0000, 6.1214]],
  "species": ["Ti", "Ti", "Cu", "Cu", "Cu", "Ni", "Ni"],
  "fractional_positions": [[0.0828, 0.0828, 0.2085], [0.9172, 0.9172, 0.7915], [0.2045, 0.2045, 0.6383], [0.5000, 0.5000, 0.5000], [0.7955, 0.7955, 0.3617], [0.3614, 0.3614, 0.0701], [0.6386, 0.6386, 0.9299]],
  "formation_energy_kcal_per_mol_atoms": -5.4,
  "volume_a3_per_cell": 89.4
}

---

Record 12
{
  "formula": "ZrInF3",
  "functional": "PBE-GGA",
  "state": "relaxed",
  "lattice_angstrom": [[4.5108, 0.0000, 0.0000], [0.0000, 4.5108, 0.0000], [0.0000, 0.0000, 4.5108]],
  "species": ["Zr", "In", "F", "F", "F"],
  "fractional_positions": [[0.0000, 0.0000, 0.0000], [0.5000, 0.5000, 0.5000], [0.0000, 0.5000, 0.5000], [0.5000, 0.0000, 0.5000], [0.5000, 0.5000, 0.0000]],
  "raw_formation_energy_ev_per_atom": -1.2312,
  "volume_a3_per_cell": 91.8
}

---

Record 13
{
  "formula": "LaTl2Zn",
  "functional": "PBE-GGA",
  "state": "relaxed",
  "lattice_angstrom": [[1.7624, 1.0175, 10.1966], [-1.7624, 1.0175, 10.1966], [0.0000, -2.0350, 10.1966]],
  "species": ["La", "Tl", "Tl", "Zn"],
  "fractional_positions": [[0.0000, 0.0000, 0.0000], [0.2387, 0.2387, 0.2387], [0.7613, 0.7613, 0.7613], [0.5000, 0.5000, 0.5000]],
  "formation_energy_kcal_per_mol_atoms": 0.1,
  "volume_a3_per_cell": 109.7
}

---

Record 14
{
  "formula": "Li3TmSn6",
  "functional": "PBE-GGA",
  "state": "relaxed",
  "lattice_angstrom": [[10.1326, 0.0000, 0.0000], [0.0000, 4.4804, 0.0000], [-0.0882, 0.0000, 10.2601]],
  "species": ["Li", "Li", "Li", "Li", "Li", "Li", "Tm", "Tm", "Sn", "Sn", "Sn", "Sn", "Sn", "Sn", "Sn", "Sn", "Sn", "Sn", "Sn", "Sn"],
  "fractional_positions": [[0.0595, 0.2500, 0.3977], [0.1502, 0.7500, 0.2032], [0.2487, 0.2500, 0.0013], [0.7513, 0.7500, 0.9987], [0.8498, 0.2500, 0.7968], [0.9405, 0.7500, 0.6023], [0.4318, 0.2500, 0.6192], [0.5682, 0.7500, 0.3808], [0.0262, 0.7500, 0.9000], [0.1247, 0.2500, 0.6898], [0.2392, 0.7500, 0.4900], [0.3226, 0.7500, 0.8174], [0.3409, 0.2500, 0.2974], [0.4418, 0.7500, 0.1007], [0.5582, 0.2500, 0.8993], [0.6591, 0.7500, 0.7026], [0.6774, 0.2500, 0.1826], [0.7608, 0.2500, 0.5100], [0.8753, 0.7500, 0.3102], [0.9738, 0.2500, 0.1000]],
  "formation_energy_kcal_per_mol_atoms": -7.3,
  "volume_a3_per_cell": 465.8
}

---

Record 15
{
  "formula": "Cs3BeZn",
  "functional": "PBE-GGA",
  "state": "relaxed",
  "lattice_angstrom": [[7.0390, 0.0000, 0.0000], [0.0000, 7.0390, 0.0000], [0.0000, 0.0000, 7.0390]],
  "species": ["Cs", "Cs", "Cs", "Be", "Zn"],
  "fractional_positions": [[0.0000, 0.0000, 0.5000], [0.0000, 0.5000, 0.0000], [0.5000, 0.0000, 0.0000], [0.0000, 0.0000, 0.0000], [0.5000, 0.5000, 0.5000]],
  "formation_energy_kcal_per_mol_atoms": 15.3,
  "volume_a3_per_cell": 348.8
}

---

Record 16
{
  "formula": "Ag2PtPb",
  "functional": "PBE-GGA",
  "state": "relaxed",
  "lattice_angstrom": [[-2.0495, 2.0495, 4.6278], [2.0495, -2.0495, 4.6278], [2.0495, 2.0495, -4.6278]],
  "species": ["Ag", "Ag", "Pt", "Pb"],
  "fractional_positions": [[0.2500, 0.7500, 0.5000], [0.7500, 0.2500, 0.5000], [0.0000, 0.0000, 0.0000], [0.5000, 0.5000, 0.0000]],
  "formation_energy_kcal_per_mol_atoms": 0.2,
  "volume_a3_per_cell": 77.8
}

---

Record 17
{
  "formula": "TmGe2Rh4",
  "functional": "PBE-GGA",
  "state": "relaxed",
  "lattice_angstrom": [[7.6963, 0.0000, 0.0000], [0.0000, 7.6963, 0.0000], [0.0000, 0.0000, 3.8672]],
  "species": ["Tm", "Tm", "Ge", "Ge", "Ge", "Ge", "Rh", "Rh", "Rh", "Rh", "Rh", "Rh", "Rh", "Rh"],
  "fractional_positions": [[0.0000, 0.0000, 0.0000], [0.5000, 0.5000, 0.5000], [0.2269, 0.2269, 0.5000], [0.2731, 0.7269, 0.0000], [0.7269, 0.2731, 0.0000], [0.7731, 0.7731, 0.5000], [0.0753, 0.6657, 0.5000], [0.1657, 0.4247, 0.0000], [0.3343, 0.9247, 0.5000], [0.4247, 0.1657, 0.0000], [0.5753, 0.8343, 0.0000], [0.6657, 0.0753, 0.5000], [0.8343, 0.5753, 0.0000], [0.9247, 0.3343, 0.5000]],
  "formation_energy_kcal_per_mol_atoms": -15.8,
  "volume_a3_per_cell": 229.1
}

---

Record 18
{
  "formula": "Mg3ReSn",
  "functional": "PBE-GGA",
  "state": "relaxed",
  "lattice_angstrom": [[5.2171, 0.0000, 0.0000], [0.0000, 5.2171, 0.0000], [0.0000, 0.0000, 5.2171]],
  "species": ["Mg", "Mg", "Mg", "Re", "Sn"],
  "fractional_positions": [[0.0000, 0.0000, 0.5000], [0.0000, 0.5000, 0.0000], [0.5000, 0.0000, 0.0000], [0.5000, 0.5000, 0.5000], [0.0000, 0.0000, 0.0000]],
  "formation_energy_kcal_per_mol_atoms": 31.1,
  "volume_a3_per_cell": 142.0
}

---

Record 19
{
  "formula": "RbBe2Au",
  "functional": "PBE-GGA",
  "state": "relaxed",
  "lattice_angstrom": [[-2.7249, 2.7249, 7.0301], [2.7249, -2.7249, 7.0301], [2.7249, 2.7249, -7.0301]],
  "species": ["Rb", "Rb", "Be", "Be", "Be", "Be", "Au", "Au"],
  "fractional_positions": [[0.3750, 0.6250, 0.7500], [0.6250, 0.3750, 0.2500], [0.0000, 0.0000, 0.0000], [0.0000, 0.0000, 0.5000], [0.0000, 0.5000, 0.0000], [0.5000, 0.0000, 0.5000], [0.1250, 0.8750, 0.2500], [0.8750, 0.1250, 0.7500]],
  "formation_energy_kcal_per_mol_atoms": 7.6,
  "volume_a3_per_cell": 208.8
}

---

Record 20
{
  "formula": "Y2Cd3Rh2",
  "functional": "PBE-GGA",
  "state": "relaxed",
  "lattice_angstrom": [[4.9966, -2.0683, 0.0000], [4.9966, 2.0683, 0.0000], [-0.9076, 0.0000, 7.4032]],
  "species": ["Y", "Y", "Cd", "Cd", "Cd", "Rh", "Rh"],
  "fractional_positions": [[0.1242, 0.1242, 0.3625], [0.8758, 0.8758, 0.6375], [0.1944, 0.1944, 0.8677], [0.5000, 0.5000, 0.0000], [0.8056, 0.8056, 0.1323], [0.4106, 0.4106, 0.3522], [0.5894, 0.5894, 0.6478]],
  "formation_energy_kcal_per_mol_atoms": -11.5,
  "volume_a3_per_cell": 153.0
}